{
  "formula": "Na5B9C",
  "functional": "GGA-PBE",
  "state": "relaxed",
  "cell": [[7.522, -2.558, 0.000], [7.522, 2.558, 0.000], [-3.005, 0.000, 8.667]],
  "species": ["Na", "Na", "Na", "Na", "Na", "Na", "Na", "Na", "Na", "Na", "B", "B", "B", "B", "B", "B", "B", "B", "B", "B", "B", "B", "B", "B", "B", "B", "B", "B", "C", "C"],
  "fractional_positions": [[0.050, 0.050, 0.250], [0.146, 0.154, 0.750], [0.246, 0.254, 0.248], [0.348, 0.352, 0.752], [0.450, 0.450, 0.249], [0.550, 0.550, 0.751], [0.648, 0.652, 0.248], [0.746, 0.754, 0.752], [0.846, 0.854, 0.250], [0.950, 0.950, 0.750], [0.046, 0.367, 0.500], [0.076, 0.731, 0.999], [0.115, 0.480, 0.000], [0.176, 0.824, 0.500], [0.208, 0.575, 0.500], [0.269, 0.924, 0.001], [0.339, 0.661, 0.000], [0.425, 0.792, 0.500], [0.461, 0.142, 0.999], [0.520, 0.885, 0.000], [0.566, 0.232, 0.500], [0.633, 0.954, 0.500], [0.682, 0.318, 0.000], [0.728, 0.065, 0.999], [0.768, 0.434, 0.500], [0.823, 0.177, 0.500], [0.858, 0.539, 0.001], [0.935, 0.272, 0.001], [0.363, 0.041, 0.500], [0.959, 0.637, 0.500]],
  "de_polymorph_ev_per_atom": 0.022,
  "spacegroup": "C2",
  "ef_ev_per_atom": 0.258
}

=====

{
  "formula": "Na5B8C2",
  "functional": "GGA-PBE",
  "state": "relaxed",
  "cell": [[5.032, 0.000, 0.000], [-2.510, 7.412, 0.000], [-2.514, -1.497, 8.654]],
  "species": ["Na", "Na", "Na", "Na", "Na", "Na", "Na", "Na", "Na", "Na", "B", "B", "B", "B", "B", "B", "B", "B", "B", "B", "B", "B", "B", "B", "B", "B", "C", "C", "C", "C"],
  "fractional_positions": [[0.000, 0.000, 0.000], [0.095, 0.699, 0.502], [0.196, 0.400, 0.002], [0.300, 0.099, 0.500], [0.395, 0.798, 0.001], [0.497, 0.499, 0.504], [0.600, 0.198, 0.002], [0.697, 0.899, 0.503], [0.794, 0.598, 0.999], [0.899, 0.298, 0.501], [0.006, 0.445, 0.253], [0.092, 0.257, 0.252], [0.136, 0.133, 0.751], [0.209, 0.853, 0.250], [0.279, 0.649, 0.252], [0.317, 0.560, 0.752], [0.365, 0.346, 0.752], [0.431, 0.246, 0.251], [0.483, 0.041, 0.250], [0.505, 0.937, 0.751], [0.673, 0.467, 0.252], [0.751, 0.364, 0.751], [0.767, 0.151, 0.751], [0.833, 0.052, 0.251], [0.854, 0.831, 0.251], [0.910, 0.749, 0.751], [0.168, 0.938, 0.751], [0.573, 0.749, 0.752], [0.603, 0.649, 0.252], [0.979, 0.559, 0.751]],
  "de_polymorph_ev_per_atom": 0.032,
  "spacegroup": "P1",
  "ef_ev_per_atom": 0.202
}

=====

{
  "formula": "Na2B3C",
  "functional": "GGA-PBE",
  "state": "relaxed",
  "cell": [[8.943, -1.429, 0.000], [8.943, 1.429, 0.000], [-2.987, 0.000, 9.921]],
  "species": ["Na", "Na", "Na", "Na", "Na", "Na", "Na", "Na", "B", "B", "B", "B", "B", "B", "B", "B", "B", "B", "B", "B", "C", "C", "C", "C"],
  "fractional_positions": [[0.000, 0.000, 0.000], [0.000, 0.000, 0.500], [0.248, 0.248, 0.124], [0.251, 0.251, 0.626], [0.498, 0.498, 0.748], [0.502, 0.502, 0.252], [0.749, 0.749, 0.374], [0.752, 0.752, 0.876], [0.125, 0.125, 0.414], [0.125, 0.125, 0.877], [0.126, 0.126, 0.239], [0.375, 0.375, 0.028], [0.375, 0.375, 0.855], [0.376, 0.376, 0.354], [0.624, 0.624, 0.646], [0.625, 0.625, 0.145], [0.625, 0.625, 0.972], [0.874, 0.874, 0.761], [0.875, 0.875, 0.123], [0.875, 0.875, 0.586], [0.124, 0.124, 0.720], [0.375, 0.375, 0.514], [0.625, 0.625, 0.486], [0.876, 0.876, 0.280]],
  "de_polymorph_ev_per_atom": 0.026,
  "spacegroup": "C2/m",
  "ef_ev_per_atom": 0.159
}

=====

{
  "formula": "Na5B8C2",
  "functional": "GGA-PBE",
  "state": "relaxed",
  "cell": [[2.939, 0.000, 0.000], [-1.470, 2.545, 0.000], [0.000, 0.000, 42.938]],
  "species": ["Na", "Na", "Na", "Na", "Na", "Na", "Na", "Na", "Na", "Na", "B", "B", "B", "B", "B", "B", "B", "B", "B", "B", "B", "B", "B", "B", "B", "B", "C", "C", "C", "C"],
  "fractional_positions": [[0.000, 0.000, 0.000], [0.000, 0.000, 0.098], [0.000, 0.000, 0.196], [0.000, 0.000, 0.294], [0.000, 0.000, 0.395], [0.000, 0.000, 0.497], [0.000, 0.000, 0.598], [0.000, 0.000, 0.699], [0.000, 0.000, 0.797], [0.000, 0.000, 0.898], [0.333, 0.667, 0.049], [0.333, 0.667, 0.245], [0.333, 0.667, 0.345], [0.333, 0.667, 0.446], [0.333, 0.667, 0.547], [0.333, 0.667, 0.648], [0.333, 0.667, 0.848], [0.333, 0.667, 0.949], [0.667, 0.333, 0.147], [0.667, 0.333, 0.345], [0.667, 0.333, 0.446], [0.667, 0.333, 0.547], [0.667, 0.333, 0.648], [0.667, 0.333, 0.748], [0.667, 0.333, 0.848], [0.667, 0.333, 0.949], [0.333, 0.667, 0.147], [0.333, 0.667, 0.748], [0.667, 0.333, 0.049], [0.667, 0.333, 0.245]],
  "de_polymorph_ev_per_atom": 0.052,
  "spacegroup": "P3m1",
  "ef_ev_per_atom": 0.222
}

=====

{
  "formula": "Na5B6C4",
  "functional": "GGA-PBE",
  "state": "relaxed",
  "cell": [[11.332, -1.417, 0.000], [11.332, 1.417, 0.000], [-3.032, 0.000, 9.343]],
  "species": ["Na", "Na", "Na", "Na", "Na", "Na", "Na", "Na", "Na", "Na", "B", "B", "B", "B", "B", "B", "B", "B", "B", "B", "B", "B", "C", "C", "C", "C", "C", "C", "C", "C"],
  "fractional_positions": [[0.000, 0.000, 0.000], [0.100, 0.100, 0.703], [0.201, 0.201, 0.400], [0.300, 0.300, 0.100], [0.399, 0.399, 0.799], [0.500, 0.500, 0.500], [0.601, 0.601, 0.201], [0.700, 0.700, 0.900], [0.799, 0.799, 0.600], [0.900, 0.900, 0.297], [0.023, 0.023, 0.294], [0.187, 0.187, 0.123], [0.216, 0.216, 0.682], [0.381, 0.381, 0.513], [0.410, 0.410, 0.071], [0.482, 0.482, 0.214], [0.518, 0.518, 0.786], [0.590, 0.590, 0.929], [0.619, 0.619, 0.487], [0.784, 0.784, 0.318], [0.813, 0.813, 0.877], [0.977, 0.977, 0.706], [0.087, 0.087, 0.422], [0.122, 0.122, 0.991], [0.281, 0.281, 0.813], [0.316, 0.316, 0.382], [0.684, 0.684, 0.618], [0.719, 0.719, 0.187], [0.878, 0.878, 0.009], [0.913, 0.913, 0.578]],
  "de_polymorph_ev_per_atom": 0.002,
  "spacegroup": "C2/m",
  "ef_ev_per_atom": 0.054
}

=====

{
  "formula": "Na2B3C",
  "functional": "GGA-PBE",
  "state": "relaxed",
  "cell": [[9.015, -1.410, 0.000], [9.015, 1.410, 0.000], [-5.288, 0.000, 12.477]],
  "species": ["Na", "Na", "Na", "Na", "Na", "Na", "Na", "Na", "Na", "Na", "B", "B", "B", "B", "B", "B", "B", "B", "B", "B", "B", "B", "B", "B", "B", "C", "C", "C", "C", "C"],
  "fractional_positions": [[0.000, 0.000, 0.000], [0.000, 0.000, 0.497], [0.200, 0.200, 0.900], [0.201, 0.201, 0.398], [0.399, 0.399, 0.297], [0.399, 0.399, 0.799], [0.601, 0.601, 0.199], [0.601, 0.601, 0.699], [0.797, 0.797, 0.598], [0.799, 0.799, 0.099], [0.029, 0.029, 0.808], [0.033, 0.033, 0.314], [0.166, 0.166, 0.579], [0.231, 0.231, 0.711], [0.236, 0.236, 0.221], [0.360, 0.360, 0.972], [0.421, 0.421, 0.591], [0.427, 0.427, 0.104], [0.573, 0.573, 0.897], [0.575, 0.575, 0.398], [0.641, 0.641, 0.032], [0.770, 0.770, 0.790], [0.829, 0.829, 0.408], [0.965, 0.965, 0.680], [0.969, 0.969, 0.187], [0.173, 0.173, 0.095], [0.362, 0.362, 0.472], [0.635, 0.635, 0.516], [0.767, 0.767, 0.284], [0.830, 0.830, 0.912]],
  "de_polymorph_ev_per_atom": 0.020,
  "spacegroup": "Cm",
  "ef_ev_per_atom": 0.153
}